The following is a DFT calculation (GGA-PBE) of an optimized crystal structure of SrTi2AsC.

a b c (Å): 5.0668 5.0668 5.3436
angles (deg): 90.00 90.00 90.00
Fractional positions:
Sr1 0.0000 0.0000 0.0000
Ti1 0.0000 0.5000 0.0000
Ti2 0.5000 0.0000 0.0000
As1 0.0000 0.0000 0.5000
C1 0.5000 0.5000 0.5000

Results
symmetry: P4/mmm, No. 123
theoretical density: 3.272 g/cm³
E: -16.51 eV/cell

***

The following is a DFT calculation (GGA-PBE) of an optimized crystal structure of SrYAsC2.

a b c (Å): 4.5593 4.5593 5.4509
angles (deg): 90.00 90.00 90.00
Fractional positions:
Sr1 0.0000 0.0000 0.0000
Y1 0.5000 0.5000 0.5000
As1 0.0000 0.0000 0.5000
C1 0.0000 0.5000 0.0000
C2 0.5000 0.0000 0.0000

Results
symmetry: P4/mmm, No. 123
theoretical density: 4.037 g/cm³
E: -22.20 eV/cell

***

The following is a DFT calculation (GGA-PBE) of an optimized crystal structure of Ta2AsC.

a b c (Å): 6.0796 6.0796 6.0796
angles (deg): 90.00 90.00 90.00
Fractional positions:
Ta1 0.2500 0.2500 0.2500
Ta2 0.2500 0.2500 0.7500
Ta3 0.2500 0.7500 0.2500
Ta4 0.2500 0.7500 0.7500
Ta5 0.7500 0.2500 0.2500
Ta6 0.7500 0.2500 0.7500
Ta7 0.7500 0.7500 0.2500
Ta8 0.7500 0.7500 0.7500
As1 0.0000 0.0000 0.0000
As2 0.0000 0.5000 0.5000
As3 0.5000 0.0000 0.5000
As4 0.5000 0.5000 0.0000
C1 0.0000 0.0000 0.5000
C2 0.0000 0.5000 0.0000
C3 0.5000 0.0000 0.0000
C4 0.5000 0.5000 0.5000

Results
symmetry: Fm-3m, No. 225
theoretical density: 13.267 g/cm³
E: -143.53 eV/cell

***

The following is a DFT calculation (GGA-PBE) of an optimized crystal structure of Ta2AsC.

a b c (Å): 3.3112 3.3112 18.4151
angles (deg): 90.00 90.00 120.00
Fractional positions:
Ta1 0.0000 0.0000 0.2276
Ta2 0.0000 0.0000 0.7724
Ta3 0.3333 0.6667 0.4391
Ta4 0.3333 0.6667 0.8943
Ta5 0.6667 0.3333 0.1057
Ta6 0.6667 0.3333 0.5609
As1 0.0000 0.0000 0.0000
As2 0.3333 0.6667 0.6667
As3 0.6667 0.3333 0.3333
C1 0.0000 0.0000 0.5000
C2 0.3333 0.6667 0.1667
C3 0.6667 0.3333 0.8333

Results
symmetry: R-3m, No. 166
theoretical density: 12.789 g/cm³
E: -118.33 eV/cell

***

The following is a DFT calculation (GGA-PBE) of an optimized crystal structure of Ta2AsC.

a b c (Å): 5.2612 5.2612 10.6862
angles (deg): 90.00 90.00 90.00
Fractional positions:
Ta1 0.1705 0.2500 0.1250
Ta2 0.2500 0.6705 0.3750
Ta3 0.2500 0.8295 0.8750
Ta4 0.3295 0.2500 0.6250
Ta5 0.6705 0.7500 0.6250
Ta6 0.7500 0.1705 0.8750
Ta7 0.7500 0.3295 0.3750
Ta8 0.8295 0.7500 0.1250
As1 0.0000 0.0000 0.5000
As2 0.0000 0.5000 0.7500
As3 0.5000 0.0000 0.2500
As4 0.5000 0.5000 0.0000
C1 0.0000 0.0000 0.0000
C2 0.0000 0.5000 0.2500
C3 0.5000 0.0000 0.7500
C4 0.5000 0.5000 0.5000

Results
symmetry: I-42d, No. 122
theoretical density: 10.078 g/cm³
E: -147.68 eV/cell

***

The following is a DFT calculation (GGA-PBE) of an optimized crystal structure of Ta2AsC2.

a b c (Å): 6.2978 6.2978 3.0466
angles (deg): 90.00 90.00 90.00
Fractional positions:
Ta1 0.1577 0.3423 0.0000
Ta2 0.3423 0.8423 0.0000
Ta3 0.6577 0.1577 0.0000
Ta4 0.8423 0.6577 0.0000
As1 0.0000 0.0000 0.5000
As2 0.5000 0.5000 0.5000
C1 0.1342 0.6342 0.5000
C2 0.3658 0.1342 0.5000
C3 0.6342 0.8658 0.5000
C4 0.8658 0.3658 0.5000

Results
symmetry: P4/mbm, No. 127
theoretical density: 12.666 g/cm³
distance to the lowest polymorph of the same formula: 1.89 eV per formula unit

***

The following is a DFT calculation (GGA-PBE) of an optimized crystal structure of Ta2AsC2.

a b c (Å): 4.2447 4.2447 6.9439
angles (deg): 90.00 90.00 90.00
Fractional positions:
Ta1 0.0000 0.5000 0.2500
Ta2 0.0000 0.5000 0.7500
Ta3 0.5000 0.0000 0.2500
Ta4 0.5000 0.0000 0.7500
As1 0.0000 0.0000 0.0000
As2 0.5000 0.5000 0.5000
C1 0.0000 0.0000 0.3910
C2 0.0000 0.0000 0.6090
C3 0.5000 0.5000 0.1090
C4 0.5000 0.5000 0.8910

Results
symmetry: I4/mmm, No. 139
theoretical density: 12.233 g/cm³
distance to the lowest polymorph of the same formula: 0.00 eV per formula unit

***

The following is a DFT calculation (GGA-PBE) of an optimized crystal structure of Ta2AsC.

a b c (Å): 3.2885 3.2885 18.3704
angles (deg): 90.00 90.00 120.00
Fractional positions:
Ta1 0.0000 0.0000 0.0000
Ta2 0.0000 0.0000 0.2057
Ta3 0.3333 0.6667 0.6667
Ta4 0.3333 0.6667 0.8723
Ta5 0.6667 0.3333 0.3333
Ta6 0.6667 0.3333 0.5390
As1 0.0000 0.0000 0.4359
As2 0.3333 0.6667 0.1026
As3 0.6667 0.3333 0.7692
C1 0.0000 0.0000 0.6040
C2 0.3333 0.6667 0.2706
C3 0.6667 0.3333 0.9373

Results
symmetry: R3m, No. 160
theoretical density: 12.996 g/cm³
E: -119.08 eV/cell

***

The following is a DFT calculation (GGA-PBE) of an optimized crystal structure of Ta2Ti3As2C2.

a b c (Å): 9.0093 9.0093 9.0093
angles (deg): 154.70 154.70 36.08
Fractional positions:
Ta1 0.0757 0.0757 0.0000
Ta2 0.9243 0.9243 0.0000
Ti1 0.2500 0.7500 0.5000
Ti2 0.5000 0.5000 0.0000
Ti3 0.7500 0.2500 0.5000
As1 0.3475 0.3475 0.0000
As2 0.6525 0.6525 0.0000
C1 0.0000 0.5000 0.5000
C2 0.5000 0.0000 0.5000

Results
symmetry: I4/mmm, No. 139
theoretical density: 8.458 g/cm³
E: -76.92 eV/cell

***

The following is a DFT calculation (GGA-PBE) of an optimized crystal structure of Ta2TlAsC.

a b c (Å): 5.2559 5.2559 3.9510
angles (deg): 90.00 90.00 90.00
Fractional positions:
Ta1 0.0000 0.5000 0.0000
Ta2 0.5000 0.0000 0.0000
Tl1 0.0000 0.0000 0.0000
As1 0.5000 0.5000 0.5000
C1 0.0000 0.0000 0.5000

Results
symmetry: P4/mmm, No. 123
theoretical density: 9.938 g/cm³
E: -26.82 eV/cell

***

The following is a DFT calculation (GGA-PBE) of an optimized crystal structure of Tb6AsC2.

a b c (Å): 6.8652 6.8652 8.6031
angles (deg): 121.32 121.32 41.98
Fractional positions:
Tb1 0.0323 0.0323 0.2034
Tb2 0.3048 0.3048 0.9297
Tb3 0.3447 0.3447 0.4142
Tb4 0.6553 0.6553 0.5858
Tb5 0.6952 0.6952 0.0703
Tb6 0.9677 0.9677 0.7966
As1 0.0000 0.0000 0.5000
C1 0.1788 0.1788 0.0906
C2 0.8212 0.8212 0.9094

Results
symmetry: C2/m, No. 12
theoretical density: 7.758 g/cm³
E: -54.20 eV/cell

***

The following is a DFT calculation (GGA-PBE) of an optimized crystal structure of TbAsC.

a b c (Å): 10.0203 3.2545 6.2854
angles (deg): 90.00 90.89 90.00
Fractional positions:
Tb1 0.1212 0.0000 0.3374
Tb2 0.3788 0.5000 0.6626
Tb3 0.6212 0.5000 0.3374
Tb4 0.8788 0.0000 0.6626
As1 0.1613 0.0000 0.8408
As2 0.3387 0.5000 0.1592
As3 0.6613 0.5000 0.8408
As4 0.8387 0.0000 0.1592
C1 0.1205 0.5000 0.6518
C2 0.3795 0.0000 0.3482
C3 0.6205 0.0000 0.6518
C4 0.8795 0.5000 0.3482

Results
symmetry: C2/m, No. 12
theoretical density: 7.968 g/cm³
E: -75.16 eV/cell